Record 1
An optimized crystal structure of KDyCr2Cl8. Source: Alexandria, functional PBE-GGA.

As for the calculated total energy: -4.817 eV/atom. The uncorrected formation energy is -18.08 eV/f.u. The space-group type is P-1, No. 2. As for the density of states at the Fermi level: 0.78 states/eV/f.u.

abc: 6.4539 6.4420 8.8200
angles: 76.92 78.60 79.55
Each line ends with the local moment (μB).
Fractional coordinates of all 12 atoms:
K1 0.0000 0.0000 0.5000  0.00
Cr1 0.5326 0.5339 0.2841  3.60
Cr2 0.4674 0.4661 0.7159  3.60
Cl1 0.8189 0.2635 0.7678  -0.01
Cl2 0.1811 0.7365 0.2322  -0.01
Cl3 0.2222 0.7806 0.7853  -0.01
Cl4 0.6373 0.6919 0.4925  -0.01
Cl5 0.3627 0.3081 0.5075  -0.01
Cl6 0.3020 0.2492 0.9477  -0.01
Cl7 0.6980 0.7508 0.0523  -0.01
Cl8 0.7778 0.2194 0.2147  -0.01
Dy1 0.0000 0.0000 0.0000  0.05


Record 2
An optimized crystal structure of Tl2TcPb. Source: Alexandria, functional PBE-GGA.

As for the calculated total energy: -4.113 eV/atom. The distance to the lowest polymorph of the same formula comes out at 154 meV per atom. The space-group type is R-3m, No. 166. Its formation energy from the elements is 0.59 eV per atom. As for the density of states at the Fermi level: 2.87 states/eV/f.u.

abc: 10.9699 10.9699 10.9699
angles: 17.02 17.02 17.02
Each line ends with the local moment (μB).
Fractional coordinates of all 4 atoms:
Tc1 0.7500 0.7500 0.7500  0.87
Tl1 0.0137 0.0137 0.0137  -0.01
Tl2 0.4863 0.4863 0.4863  -0.01
Pb1 0.2500 0.2500 0.2500  -0.01


Record 3
An optimized crystal structure of La2TmNpAs4. Source: Alexandria, functional PBE-GGA.

As for the calculated total energy: -7.041 eV/atom. The space-group type is P2/m, No. 10. Its formation energy from the elements is -1.31 eV per atom. As for the density of states at the Fermi level: 11.79 states/eV/f.u.

abc: 4.2254 7.3118 7.3342
angles: 109.33 90.00 90.00
Each line ends with the local moment (μB).
Fractional coordinates of all 8 atoms:
La1 0.0000 0.5000 0.5000  0.02
La2 0.5000 0.0000 0.5000  0.03
As1 0.5000 0.2442 0.2317  -0.06
As2 0.5000 0.7558 0.7683  -0.06
As3 0.0000 0.7448 0.2318  -0.04
As4 0.0000 0.2552 0.7682  -0.04
Np1 0.0000 0.0000 0.0000  3.65
Tm1 0.5000 0.5000 0.0000  0.01


Record 4
An optimized crystal structure of CaCuBr4. Source: Alexandria, functional PBE-GGA.

As for the calculated total energy: -2.003 eV/atom. The distance to the lowest polymorph of the same formula comes out at 1210 meV per atom. The uncorrected formation energy is 0.77 eV/f.u. The space-group type is F-43m, No. 216. As for the density of states at the Fermi level: 6.23 states/eV/f.u.

abc: 6.3565 6.3565 6.3565
angles: 60.00 60.00 60.00
Each line ends with the local moment (μB).
Fractional coordinates of all 6 atoms:
Br1 0.3746 0.3746 0.8763  0.36
Br2 0.3746 0.8763 0.3746  0.36
Br3 0.8763 0.3746 0.3746  0.36
Br4 0.3746 0.3746 0.3746  0.36
Cu1 0.0000 0.0000 0.0000  0.06
Ca1 0.7500 0.7500 0.7500  0.01


Record 5
An optimized crystal structure of La2PaCuS6. Source: Alexandria, functional PBE-GGA.

As for the calculated total energy: -6.403 eV/atom. The uncorrected formation energy is -15.82 eV/f.u. The space-group type is C2/m, No. 12.

abc: 6.9638 6.7722 7.2480
angles: 117.85 122.08 90.00
Fractional coordinates of all 10 atoms:
S1 0.8098 0.8270 0.1379
S2 0.8098 0.3109 0.1379
S3 0.1902 0.1730 0.8621
S4 0.6237 0.2550 0.5100
S5 0.3763 0.7450 0.4900
S6 0.1902 0.6891 0.8621
Cu1 0.5000 0.0000 0.0000
La1 0.7748 0.7365 0.4729
La2 0.2252 0.2635 0.5271
Pa1 0.0000 0.5000 0.0000


Record 6
An optimized crystal structure of Ce5HOs4. Source: Alexandria, functional PBE-GGA.

As for the calculated total energy: -7.891 eV/atom. The space-group type is I4, No. 79. As for the density of states at the Fermi level: 6.45 states/eV/f.u.

abc: 5.5967 6.8803 6.8803
angles: 80.48 66.00 66.00
Fractional coordinates of all 10 atoms:
Os1 0.6069 0.6033 0.1846
Os2 0.2102 0.1846 0.3967
Os3 0.3948 0.3967 0.8154
Os4 0.7915 0.8154 0.6033
Ce1 0.0984 0.5994 0.2056
Ce2 0.3040 0.7944 0.5994
Ce3 0.6978 0.2056 0.4006
Ce4 0.5002 0.0000 0.0000
Ce5 0.9034 0.4006 0.7944
H1 0.0030 0.0000 0.0000